1.
# LiPrTeI

Crystalline LiPrTeI at its relaxed geometry (GGA-PBE, the Alexandria database).

Summary:
Fermi-level density of states in states/eV/f.u.: 1.878
Formation energy without anion corrections in meV per atom: -1177
Magnetic moment in μB/f.u.: 0.0
Space-group type: R3m
V in Å³ per cell: 383.9

Cell: 4.364 4.364 23.274 Å, 90.00 90.00 120.00°
Atoms (fractional coordinates):
Li1 0.000 0.000 0.000
Li2 0.333 0.667 0.667
Li3 0.667 0.333 0.333
Pr1 0.000 0.000 0.538
Pr2 0.333 0.667 0.205
Pr3 0.667 0.333 0.871
Te1 0.000 0.000 0.289
Te2 0.333 0.667 0.956
Te3 0.667 0.333 0.623
I1 0.000 0.000 0.781
I2 0.333 0.667 0.448
I3 0.667 0.333 0.114


2.
# Li2PrTlI6

Crystalline Li2PrTlI6 at its relaxed geometry (GGA-PBE, the Alexandria database).

Summary:
Fermi-level density of states in states/eV/f.u.: 0.000
Formation energy without anion corrections in meV per atom: -1148
Magnetic moment in μB/f.u.: 0.0
Space-group type: R3
V in Å³ per cell: 395.2

Cell: 8.554 8.554 8.554 Å, 55.39 55.39 55.39°
Atoms (fractional coordinates):
Li1 0.000 0.000 0.000
Li2 0.497 0.497 0.497
Pr1 0.812 0.812 0.812
Tl1 0.299 0.299 0.299
I1 0.098 0.392 0.747
I2 0.237 0.840 0.648
I3 0.392 0.747 0.098
I4 0.648 0.237 0.840
I5 0.747 0.098 0.392
I6 0.840 0.648 0.237


3.
# LiPrTl2I6

Crystalline LiPrTl2I6 at its relaxed geometry (GGA-PBE, the Alexandria database).

Summary:
Fermi-level density of states in states/eV/f.u.: 0.000
Formation energy without anion corrections in meV per atom: -1053
Magnetic moment in μB/f.u.: 0.0
Space-group type: R3
V in Å³ per cell: 433.9

Cell: 8.598 8.598 8.598 Å, 58.48 58.48 58.48°
Atoms (fractional coordinates):
Li1 0.000 0.000 0.000
Pr1 0.494 0.494 0.494
Tl1 0.286 0.286 0.286
Tl2 0.790 0.790 0.790
I1 0.144 0.335 0.735
I2 0.232 0.839 0.655
I3 0.335 0.735 0.144
I4 0.655 0.232 0.839
I5 0.735 0.144 0.335
I6 0.839 0.655 0.232


4.
# LiPt2I

Crystalline LiPt2I at its relaxed geometry (GGA-PBE, the Alexandria database).

Summary:
Fermi-level density of states in states/eV/f.u.: 3.419
Formation energy without anion corrections in meV per atom: 181
Magnetic moment in μB/f.u.: 0.0
Space-group type: Fm-3m
V in Å³ per cell: 282.3
Energy above the lowest structure with this stoichiometry in eV per atom: 0.223

Cell: 6.560 6.560 6.560 Å, 90.00 90.00 90.00°
Atoms (fractional coordinates):
Li1 0.000 0.000 0.000
Li2 0.000 0.500 0.500
Li3 0.500 0.000 0.500
Li4 0.500 0.500 0.000
Pt1 0.250 0.250 0.250
Pt2 0.250 0.250 0.750
Pt3 0.250 0.750 0.250
Pt4 0.250 0.750 0.750
Pt5 0.750 0.250 0.250
Pt6 0.750 0.250 0.750
Pt7 0.750 0.750 0.250
Pt8 0.750 0.750 0.750
I1 0.000 0.000 0.500
I2 0.000 0.500 0.000
I3 0.500 0.000 0.000
I4 0.500 0.500 0.500


5.
# LiPt2I

Crystalline LiPt2I at its relaxed geometry (GGA-PBE, the Alexandria database).

Summary:
Fermi-level density of states in states/eV/f.u.: 2.415
Formation energy without anion corrections in meV per atom: -42
Magnetic moment in μB/f.u.: 0.0
Space-group type: I-42d
V in Å³ per cell: 301.0
Energy above the lowest structure with this stoichiometry in eV per atom: 0.000

Cell: 3.899 3.899 19.800 Å, 90.00 90.00 90.00°
Atoms (fractional coordinates):
Li1 0.000 0.000 0.000
Li2 0.000 0.500 0.250
Li3 0.500 0.000 0.750
Li4 0.500 0.500 0.500
Pt1 0.239 0.250 0.125
Pt2 0.250 0.739 0.375
Pt3 0.250 0.761 0.875
Pt4 0.261 0.250 0.625
Pt5 0.739 0.750 0.625
Pt6 0.750 0.239 0.875
Pt7 0.750 0.261 0.375
Pt8 0.761 0.750 0.125
I1 0.000 0.000 0.500
I2 0.000 0.500 0.750
I3 0.500 0.000 0.250
I4 0.500 0.500 0.000


6.
# Li3PtI

Crystalline Li3PtI at its relaxed geometry (GGA-PBE, the Alexandria database).

Summary:
Fermi-level density of states in states/eV/f.u.: 0.000
Formation energy without anion corrections in meV per atom: -509
Magnetic moment in μB/f.u.: 0.0
Space-group type: Pm-3m
V in Å³ per cell: 114.3
Energy above the lowest structure with this stoichiometry in eV per atom: 0.000

Cell: 4.853 4.853 4.853 Å, 90.00 90.00 90.00°
Atoms (fractional coordinates):
Li1 0.000 0.000 0.500
Li2 0.000 0.500 0.000
Li3 0.500 0.000 0.000
Pt1 0.000 0.000 0.000
I1 0.500 0.500 0.500


7.
# Li2PtI6

Crystalline Li2PtI6 at its relaxed geometry (GGA-PBE, the Alexandria database).

Summary:
Formation energy without anion corrections in meV per atom: -585
Magnetic moment in μB/f.u.: 0.0
Space-group type: P2_1/c
V in Å³ per cell: 624.2

Cell: 7.254 7.106 14.113 Å, 90.00 120.91 90.00°
Atoms (fractional coordinates):
Li1 0.160 0.001 0.160
Li2 0.160 0.499 0.660
Li3 0.840 0.501 0.340
Li4 0.840 0.999 0.840
Pt1 0.500 0.000 0.000
Pt2 0.500 0.500 0.500
I1 0.174 0.210 0.841
I2 0.174 0.290 0.341
I3 0.202 0.728 0.501
I4 0.202 0.772 0.001
I5 0.492 0.211 0.159
I6 0.492 0.289 0.659
I7 0.508 0.711 0.341
I8 0.508 0.789 0.841
I9 0.798 0.228 0.999
I10 0.798 0.272 0.499
I11 0.826 0.710 0.659
I12 0.826 0.790 0.159


8.
# Rb2LiPtI6

Crystalline Rb2LiPtI6 at its relaxed geometry (GGA-PBE, the Alexandria database).

Summary:
Fermi-level density of states in states/eV/f.u.: 3.576
Formation energy without anion corrections in meV per atom: -810
Magnetic moment in μB/f.u.: 0.0
Space-group type: I4/mmm
V in Å³ per cell: 382.4
Energy above the lowest structure with this stoichiometry in eV per atom: 0.025

Cell: 8.145 8.145 8.145 Å, 119.95 119.95 90.09°
Atoms (fractional coordinates):
Rb1 0.250 0.750 0.500
Rb2 0.750 0.250 0.500
Li1 0.000 0.000 0.000
Pt1 0.500 0.500 0.000
I1 0.259 0.259 0.000
I2 0.260 0.260 0.520
I3 0.260 0.740 0.000
I4 0.740 0.260 0.000
I5 0.740 0.740 0.480
I6 0.741 0.741 0.000


9.
# Rb2LiPtI6

Crystalline Rb2LiPtI6 at its relaxed geometry (GGA-PBE, the Alexandria database).

Summary:
Fermi-level density of states in states/eV/f.u.: 4.269
Formation energy without anion corrections in meV per atom: -835
Magnetic moment in μB/f.u.: 0.0
Space-group type: R-3m
V in Å³ per cell: 781.1
Energy above the lowest structure with this stoichiometry in eV per atom: 0.000

Cell: 14.746 14.746 14.746 Å, 31.59 31.59 31.59°
Atoms (fractional coordinates):
Rb1 0.119 0.119 0.119
Rb2 0.300 0.300 0.300
Rb3 0.700 0.700 0.700
Rb4 0.881 0.881 0.881
Li1 0.423 0.423 0.423
Li2 0.577 0.577 0.577
Pt1 0.000 0.000 0.000
Pt2 0.500 0.500 0.500
I1 0.134 0.626 0.626
I2 0.201 0.201 0.713
I3 0.201 0.713 0.201
I4 0.287 0.799 0.799
I5 0.374 0.374 0.866
I6 0.374 0.866 0.374
I7 0.626 0.134 0.626
I8 0.626 0.626 0.134
I9 0.713 0.201 0.201
I10 0.799 0.287 0.799
I11 0.799 0.799 0.287
I12 0.866 0.374 0.374


10.
# LiPt2SI

Crystalline LiPt2SI at its relaxed geometry (GGA-PBE, the Alexandria database).

Summary:
Fermi-level density of states in states/eV/f.u.: 5.812
Formation energy without anion corrections in meV per atom: 670
Magnetic moment in μB/f.u.: 0.0
Space-group type: P4/mmm
V in Å³ per cell: 90.7

Cell: 4.644 4.644 4.206 Å, 90.00 90.00 90.00°
Atoms (fractional coordinates):
Li1 0.000 0.000 0.000
Pt1 0.000 0.500 0.000
Pt2 0.500 0.000 0.000
S1 0.000 0.000 0.500
I1 0.500 0.500 0.500


11.
# LiSbPtI2

Crystalline LiSbPtI2 at its relaxed geometry (GGA-PBE, the Alexandria database).

Summary:
Fermi-level density of states in states/eV/f.u.: 3.265
Formation energy without anion corrections in meV per atom: -25
Magnetic moment in μB/f.u.: 0.5
Space-group type: P4/mmm
V in Å³ per cell: 172.2
Energy above the lowest structure with this stoichiometry in eV per atom: 0.000

Cell: 5.818 5.818 5.089 Å, 90.00 90.00 90.00°
Atoms (fractional coordinates):
Li1 0.000 0.000 0.000
Sb1 0.500 0.500 0.000
Pt1 0.500 0.500 0.500
I1 0.000 0.500 0.500
I2 0.500 0.000 0.500


12.
# Sr2LiPtI

Crystalline Sr2LiPtI at its relaxed geometry (GGA-PBE, the Alexandria database).

Summary:
Fermi-level density of states in states/eV/f.u.: 4.687
Formation energy without anion corrections in meV per atom: -702
Magnetic moment in μB/f.u.: 0.0
Space-group type: P4/mmm
V in Å³ per cell: 172.3

Cell: 5.956 5.956 4.857 Å, 90.00 90.00 90.00°
Atoms (fractional coordinates):
Sr1 0.000 0.500 0.000
Sr2 0.500 0.000 0.000
Li1 0.000 0.000 0.500
Pt1 0.000 0.000 0.000
I1 0.500 0.500 0.500